! NaMgSn6 | the Alexandria database | PBE | relaxed; values from VASP
&SYSTEM
  ibrav = 0, nat = 8, ntyp = 3
/
ATOMIC_SPECIES
Na 22.99 Na.upf
Mg 24.30 Mg.upf
Sn 118.71 Sn.upf
CELL_PARAMETERS angstrom
-2.081 3.991 -4.307
-4.006 -4.512 -1.548
-3.586 2.288 4.551
ATOMIC_POSITIONS crystal
Na 0.000 0.000 0.000
Mg 0.500 0.500 0.500
Sn 0.167 0.582 0.167
Sn 0.167 0.167 0.582
Sn 0.833 0.418 0.833
Sn 0.418 0.833 0.833
Sn 0.833 0.833 0.418
Sn 0.582 0.167 0.167
! Distance to the lowest polymorph of the same formula: 146 meV per atom
! Space group: No. 166
! Formation enthalpy at 0 K: 0.085 eV per atom
! Theoretical density: 5.3 g/cm3

=====

! TaIn2Br | the Alexandria database | PBE | relaxed; values from VASP
&SYSTEM
  ibrav = 0, nat = 4, ntyp = 3
/
ATOMIC_SPECIES
In 114.82 In.upf
Br 79.90 Br.upf
Ta 180.95 Ta.upf
CELL_PARAMETERS angstrom
-0.787 -4.703 1.968
-4.734 -1.417 1.481
-2.604 -3.530 -2.716
ATOMIC_POSITIONS crystal
In 0.250 0.250 0.250
In 0.750 0.750 0.750
Br 0.000 0.000 0.000
Ta 0.500 0.500 0.500
! Distance to the lowest polymorph of the same formula: 668 meV per atom
! Space group: No. 225
! Theoretical density: 8.4 g/cm3
! Uncorrected formation energy: 3.16 eV per formula unit

=====

! HgGeBi | the Alexandria database | PBE | relaxed; values from VASP
&SYSTEM
  ibrav = 0, nat = 6, ntyp = 3
/
ATOMIC_SPECIES
Hg 200.59 Hg.upf
Ge 72.64 Ge.upf
Bi 208.98 Bi.upf
CELL_PARAMETERS angstrom
3.203 -0.002 0.000
-0.011 6.388 -0.069
0.001 -3.262 8.153
ATOMIC_POSITIONS crystal
Hg 0.495 0.494 0.216
Hg 0.996 0.998 0.027
Ge 0.487 0.349 0.482
Ge 0.985 0.977 0.350
Bi 0.489 0.456 0.844
Bi 0.484 0.930 0.650
! Distance to the lowest polymorph of the same formula: 35 meV per atom
! Space group: No. 1
! Formation enthalpy at 0 K: 0.159 eV per atom
! Theoretical density: 9.6 g/cm3

=====

! TePtSe2 | the Alexandria database | PBE | relaxed; values from VASP
&SYSTEM
  ibrav = 0, nat = 4, ntyp = 3
/
ATOMIC_SPECIES
Pt 195.08 Pt.upf
Se 78.96 Se.upf
Te 127.60 Te.upf
CELL_PARAMETERS angstrom
3.203 0.000 0.000
0.000 4.751 0.000
0.000 0.000 5.424
ATOMIC_POSITIONS crystal
Pt 0.000 0.500 0.500
Se 0.000 0.000 0.000
Se 0.500 0.500 0.000
Te 0.500 0.000 0.500
! Space group: No. 47
! Theoretical density: 9.7 g/cm3
! Uncorrected formation energy: 1.75 eV per formula unit

=====

! BaAl6Zn2 | the Alexandria database | PBE | relaxed; values from VASP
&SYSTEM
  ibrav = 0, nat = 9, ntyp = 3
/
ATOMIC_SPECIES
Ba 137.33 Ba.upf
Al 26.98 Al.upf
Zn 65.41 Zn.upf
CELL_PARAMETERS angstrom
-1.025 -4.242 -1.870
0.172 -1.949 4.326
-7.953 1.488 0.986
ATOMIC_POSITIONS crystal
Ba 0.000 0.000 0.000
Al 0.000 0.500 0.322
Al 0.500 0.000 0.322
Al 0.000 0.500 0.678
Al 0.500 0.000 0.678
Al 0.500 0.500 0.500
Al 0.000 0.000 0.500
Zn 0.500 0.500 0.159
Zn 0.500 0.500 0.841
! Space group: No. 123
! Formation enthalpy at 0 K: -0.122 eV per atom
! Theoretical density: 3.9 g/cm3

=====

! P4Br5 | the Alexandria database | PBE | relaxed; values from VASP
&SYSTEM
  ibrav = 0, nat = 18, ntyp = 2
/
ATOMIC_SPECIES
P 30.97 P.upf
Br 79.90 Br.upf
CELL_PARAMETERS angstrom
-8.424 -4.634 -7.882
12.122 -1.810 -2.086
-0.163 -4.020 2.538
ATOMIC_POSITIONS crystal
P 0.000 0.000 0.000
P 0.000 0.000 0.500
P 0.000 0.515 0.250
P 0.485 0.485 0.250
P 0.515 0.000 0.250
P 0.000 0.485 0.750
P 0.515 0.515 0.750
P 0.485 0.000 0.750
Br 0.000 0.693 0.250
Br 0.307 0.307 0.250
Br 0.693 0.000 0.250
Br 0.000 0.307 0.750
Br 0.693 0.693 0.750
Br 0.307 0.000 0.750
Br 0.667 0.333 0.000
Br 0.333 0.667 0.500
Br 0.333 0.667 0.000
Br 0.667 0.333 0.500
! Space group: No. 193
! Theoretical density: 2.7 g/cm3
! Uncorrected formation energy: 2.91 eV per formula unit

=====

! Co3GeBr | the Alexandria database | PBE | relaxed; values from VASP
&SYSTEM
  ibrav = 0, nat = 5, ntyp = 3
/
ATOMIC_SPECIES
Ge 72.64 Ge.upf
Co 58.93 Co.upf
Br 79.90 Br.upf
CELL_PARAMETERS angstrom
-3.665 2.399 0.894
-2.304 -3.771 0.672
1.115 0.090 4.328
ATOMIC_POSITIONS crystal
Ge 0.000 0.000 0.000
Co 0.000 0.500 0.000
Co 0.000 0.000 0.500
Co 0.500 0.000 0.000
Br 0.500 0.500 0.500
! Distance to the lowest polymorph of the same formula: 0 meV per atom
! Space group: No. 221
! Theoretical density: 6.1 g/cm3
! Uncorrected formation energy: 4.86 eV per formula unit

=====

! La2ErTl | the Alexandria database | PBE | relaxed; values from VASP
&SYSTEM
  ibrav = 0, nat = 4, ntyp = 3
/
ATOMIC_SPECIES
Tl 204.38 Tl.upf
La 138.91 La.upf
Er 167.26 Er.upf
CELL_PARAMETERS angstrom
-0.036 4.581 2.352
-0.800 -2.217 4.306
4.843 -0.335 0.728
ATOMIC_POSITIONS crystal
Tl 0.500 0.500 0.500
La 0.000 0.000 0.500
La 0.000 0.500 0.000
Er 0.500 0.000 0.000
! Distance to the lowest polymorph of the same formula: 0 meV per atom
! Space group: No. 123
! Formation enthalpy at 0 K: -0.204 eV per atom
! Theoretical density: 8.7 g/cm3

=====

The lowest theoretical density belongs to which entry? P4Br5

=====

Repeat the fourth record exactly.
! TePtSe2 | the Alexandria database | PBE | relaxed; values from VASP
&SYSTEM
  ibrav = 0, nat = 4, ntyp = 3
/
ATOMIC_SPECIES
Pt 195.08 Pt.upf
Se 78.96 Se.upf
Te 127.60 Te.upf
CELL_PARAMETERS angstrom
3.203 0.000 0.000
0.000 4.751 0.000
0.000 0.000 5.424
ATOMIC_POSITIONS crystal
Pt 0.000 0.500 0.500
Se 0.000 0.000 0.000
Se 0.500 0.500 0.000
Te 0.500 0.000 0.500
! Space group: No. 47
! Theoretical density: 9.7 g/cm3
! Uncorrected formation energy: 1.75 eV per formula unit

=====

Repeat the first record exactly.
! NaMgSn6 | the Alexandria database | PBE | relaxed; values from VASP
&SYSTEM
  ibrav = 0, nat = 8, ntyp = 3
/
ATOMIC_SPECIES
Na 22.99 Na.upf
Mg 24.30 Mg.upf
Sn 118.71 Sn.upf
CELL_PARAMETERS angstrom
-2.081 3.991 -4.307
-4.006 -4.512 -1.548
-3.586 2.288 4.551
ATOMIC_POSITIONS crystal
Na 0.000 0.000 0.000
Mg 0.500 0.500 0.500
Sn 0.167 0.582 0.167
Sn 0.167 0.167 0.582
Sn 0.833 0.418 0.833
Sn 0.418 0.833 0.833
Sn 0.833 0.833 0.418
Sn 0.582 0.167 0.167
! Distance to the lowest polymorph of the same formula: 146 meV per atom
! Space group: No. 166
! Formation enthalpy at 0 K: 0.085 eV per atom
! Theoretical density: 5.3 g/cm3